[1]
Ca2PdPbN, optimized geometry, DFT PBE; E_form (uncorrected) = -0.47 eV per atom; E_tot = -4.712 eV per atom
1.0
4.878 0.000 0.000
0.000 4.878 0.000
0.000 0.000 4.330
Pb Ca Pd N
1 2 1 1
Direct
0.500 0.500 0.500
0.500 0.000 0.000
0.000 0.500 0.000
0.000 0.000 0.500
0.000 0.000 0.000

[2]
Ca2PmPbN, optimized geometry, DFT PBE; E_form (uncorrected) = -0.91 eV per atom; E_tot = -5.070 eV per atom
1.0
5.017 0.000 0.000
0.000 4.906 0.000
0.000 0.000 4.906
Ca Pb N Pm
2 1 1 1
Direct
0.000 0.500 0.000
0.000 0.000 0.500
0.500 0.500 0.500
0.000 0.000 0.000
0.500 0.000 0.000

[3]
CaPm2PbN, optimized geometry, DFT PBE; E_form (uncorrected) = -0.90 eV per atom; E_tot = -5.611 eV per atom
1.0
4.915 0.000 0.000
0.000 4.996 0.000
0.000 0.000 4.996
Pm Ca Pb N
2 1 1 1
Direct
0.000 0.000 0.500
0.000 0.500 0.000
0.500 0.000 0.000
0.500 0.500 0.500
0.000 0.000 0.000